# 1
Computed, not measured: crystalline Tm2Mn3Si5 at its relaxed geometry at the PBEsol level of DFT.

Properties
DFT total energy   -299.30 eV per cell
Volume   14.339 Å³ per atom
Formation energy without anion corrections   -0.701 eV/atom

a = 10.4012 Å, b = 10.4012 Å, c = 5.3016 Å
α = 90.00°, β = 90.00°, γ = 90.00°
Closest atoms and distances in Å follow each position.
Fractional coordinates of all 40 atoms:
Tm 0.0758 0.2362 0.0000  7 Si 2.72-2.98, 2 Mn 3.00
Tm 0.2362 0.9242 0.0000  7 Si 2.72-2.98, 2 Mn 3.00
Tm 0.2638 0.4242 0.5000  7 Si 2.72-2.98, 2 Mn 3.00
Tm 0.4242 0.7362 0.5000  7 Si 2.72-2.98, 2 Mn 3.00
Tm 0.5758 0.2638 0.5000  7 Si 2.72-2.98, 2 Mn 3.00
Tm 0.7362 0.5758 0.5000  7 Si 2.72-2.98, 2 Mn 3.00
Tm 0.7638 0.0758 0.0000  7 Si 2.72-2.98, 2 Mn 3.00
Tm 0.9242 0.7638 0.0000  7 Si 2.72-2.98, 2 Mn 3.00
Mn 0.0000 0.5000 0.2500  6 Si 2.36-2.57
Mn 0.0000 0.5000 0.7500  6 Si 2.36-2.57
Mn 0.1214 0.8540 0.5000  6 Si 2.33-2.36
Mn 0.1461 0.1214 0.5000  6 Si 2.33-2.36
Mn 0.3540 0.6214 0.0000  6 Si 2.33-2.36
Mn 0.3786 0.3540 0.0000  6 Si 2.33-2.36
Mn 0.5000 0.0000 0.2500  6 Si 2.36-2.57
Mn 0.5000 0.0000 0.7500  6 Si 2.36-2.57
Mn 0.6214 0.6460 0.0000  6 Si 2.33-2.36
Mn 0.6460 0.3786 0.0000  6 Si 2.33-2.36
Mn 0.8540 0.8786 0.5000  6 Si 2.33-2.36
Mn 0.8786 0.1461 0.5000  6 Si 2.33-2.36
Si 0.0000 0.0000 0.2548  4 Mn 2.36, 1 Si 2.60
Si 0.0000 0.0000 0.7452  4 Mn 2.36, 1 Si 2.60
Si 0.0262 0.3145 0.5000  4 Mn 2.33-2.36, 2 Si 2.48
Si 0.1746 0.6746 0.2500  3 Mn 2.35-2.57, 2 Si 2.48
Si 0.1746 0.6746 0.7500  3 Mn 2.35-2.57, 2 Si 2.48
Si 0.1855 0.4738 0.0000  4 Mn 2.33-2.36, 2 Si 2.48
Si 0.3145 0.9738 0.5000  4 Mn 2.33-2.36, 2 Si 2.48
Si 0.3254 0.1746 0.2500  3 Mn 2.35-2.57, 2 Si 2.48
Si 0.3254 0.1746 0.7500  3 Mn 2.35-2.57, 2 Si 2.48
Si 0.4738 0.8145 0.0000  4 Mn 2.33-2.36, 2 Si 2.48
Si 0.5000 0.5000 0.2452  4 Mn 2.36, 1 Si 2.60
Si 0.5000 0.5000 0.7548  4 Mn 2.36, 1 Si 2.60
Si 0.5262 0.1855 0.0000  4 Mn 2.33-2.36, 2 Si 2.48
Si 0.6746 0.8254 0.2500  3 Mn 2.35-2.57, 2 Si 2.48
Si 0.6746 0.8254 0.7500  3 Mn 2.35-2.57, 2 Si 2.48
Si 0.6855 0.0262 0.5000  4 Mn 2.33-2.36, 2 Si 2.48
Si 0.8145 0.5262 0.0000  4 Mn 2.33-2.36, 2 Si 2.48
Si 0.8254 0.3254 0.2500  3 Mn 2.35-2.57, 2 Si 2.48
Si 0.8254 0.3254 0.7500  3 Mn 2.35-2.57, 2 Si 2.48
Si 0.9738 0.6855 0.5000  4 Mn 2.33-2.36, 2 Si 2.48

***

# 2
Computed, not measured: crystalline La2ZrAl at its relaxed geometry at the PBEsol level of DFT.

Properties
DFT total energy   -23.94 eV per cell
Volume   26.203 Å³ per atom
Formation enthalpy at 0 K   -0.0157 eV per atom

a = 3.4028 Å, b = 4.5082 Å, c = 6.8324 Å
α = 90.00°, β = 90.00°, γ = 90.00°
Closest atoms and distances in Å follow each position.
Fractional coordinates of all 4 atoms:
La 0.0000 0.0000 0.2312  3 La 3.16-3.40, 4 Al 3.24, 4 Zr 3.37
La 0.0000 0.0000 0.7688  3 La 3.16-3.40, 4 Al 3.24, 4 Zr 3.37
Zr 0.5000 0.5000 0.5000  8 La 3.37, 2 Zr 3.40, 2 Al 3.42
Al 0.5000 0.5000 0.0000  8 La 3.24, 2 Al 3.40, 2 Zr 3.42

***

# 3
Computed, not measured: crystalline RbSi2PN at its relaxed geometry at the PBEsol level of DFT.

Properties
DFT total energy   -22.17 eV per cell
Volume   18.831 Å³ per atom
Formation energy without anion corrections   0.933 eV/atom

a = 5.2772 Å, b = 5.2772 Å, c = 3.3808 Å
α = 90.00°, β = 90.00°, γ = 90.00°
Closest atoms and distances in Å follow each position.
Fractional coordinates of all 5 atoms:
Rb 0.0000 0.0000 0.0000  8 Si 3.13, 2 Rb 3.38
Si 0.0000 0.5000 0.5000  2 P 2.64
Si 0.5000 0.0000 0.5000  2 P 2.64
P 0.5000 0.5000 0.5000  2 N 1.69
N 0.5000 0.5000 0.0000  2 P 1.69

***

# 4
Computed, not measured: crystalline RbFe2Cl at its relaxed geometry at the PBEsol level of DFT.

Properties
DFT total energy   -59.85 eV per cell
Volume   20.495 Å³ per atom
Formation energy without anion corrections   1.499 eV/atom

a = 6.8959 Å, b = 6.8959 Å, c = 6.8959 Å
α = 90.00°, β = 90.00°, γ = 90.00°
Closest atoms and distances in Å follow each position.
Fractional coordinates of all 16 atoms:
Rb 0.0000 0.0000 0.0000  8 Fe 2.99
Rb 0.0000 0.5000 0.5000  8 Fe 2.99
Rb 0.5000 0.0000 0.5000  8 Fe 2.99
Rb 0.5000 0.5000 0.0000  8 Fe 2.99
Fe 0.2500 0.2500 0.2500  4 Cl 2.99, 4 Rb 2.99
Fe 0.2500 0.2500 0.7500  4 Cl 2.99, 4 Rb 2.99
Fe 0.2500 0.7500 0.2500  4 Cl 2.99, 4 Rb 2.99
Fe 0.2500 0.7500 0.7500  4 Cl 2.99, 4 Rb 2.99
Fe 0.7500 0.2500 0.2500  4 Cl 2.99, 4 Rb 2.99
Fe 0.7500 0.2500 0.7500  4 Cl 2.99, 4 Rb 2.99
Fe 0.7500 0.7500 0.2500  4 Cl 2.99, 4 Rb 2.99
Fe 0.7500 0.7500 0.7500  4 Rb 2.99, 4 Cl 2.99
Cl 0.0000 0.0000 0.5000  8 Fe 2.99
Cl 0.0000 0.5000 0.0000  8 Fe 2.99
Cl 0.5000 0.0000 0.0000  8 Fe 2.99
Cl 0.5000 0.5000 0.5000  8 Fe 2.99

***

# 5
Computed, not measured: crystalline Li3V2Cr2O8 at its relaxed geometry at the PBEsol level of DFT.

Properties
DFT total energy   -120.09 eV per cell
Volume   8.890 Å³ per atom
Formation energy without anion corrections   -2.163 eV/atom

a = 5.7067 Å, b = 5.7067 Å, c = 5.8631 Å
α = 120.57°, β = 120.57°, γ = 59.53°
Closest atoms and distances in Å follow each position.
Fractional coordinates of all 15 atoms:
Li 0.0000 0.0000 0.0000  6 O 2.03-2.10
Li 0.0000 0.5000 0.0000  6 O 2.06-2.12
Li 0.5000 0.0000 0.0000  6 O 2.06-2.12
V 0.0000 0.5000 0.5000  6 O 1.96-1.99
V 0.5000 0.0000 0.5000  6 O 1.96-1.99
Cr 0.5000 0.5000 0.0000  6 O 1.95-1.96
Cr 0.5000 0.5000 0.5000  6 O 1.98-1.99
O 0.2528 0.2528 0.2641  1 Cr 1.99, 2 V 1.99, 3 Li 2.03-2.09
O 0.2558 0.2558 0.7369  2 V 1.96, 1 Cr 1.96, 2 Li 2.12
O 0.2621 0.7256 0.7471  2 Cr 1.95-1.98, 1 V 1.96, 2 Li 2.06-2.10
O 0.2744 0.7379 0.2529  2 Cr 1.95-1.98, 1 V 1.96, 2 Li 2.06-2.10
O 0.7256 0.2621 0.7471  2 Cr 1.95-1.98, 1 V 1.96, 2 Li 2.06-2.10
O 0.7379 0.2744 0.2529  2 Cr 1.95-1.98, 1 V 1.96, 2 Li 2.06-2.10
O 0.7442 0.7442 0.2631  2 V 1.96, 1 Cr 1.96, 2 Li 2.12
O 0.7472 0.7472 0.7359  1 Cr 1.99, 2 V 1.99, 3 Li 2.03-2.09

***

# 6
Computed, not measured: crystalline Co3GeP at its relaxed geometry at the PBEsol level of DFT.

Properties
DFT total energy   -28.61 eV per cell
Volume   15.216 Å³ per atom
Formation enthalpy at 0 K   1.0656 eV per atom

a = 4.2373 Å, b = 4.2373 Å, c = 4.2373 Å
α = 90.00°, β = 90.00°, γ = 90.00°
Closest atoms and distances in Å follow each position.
Fractional coordinates of all 5 atoms:
Co 0.0000 0.0000 0.5000  2 Ge 2.12
Co 0.0000 0.5000 0.0000  2 Ge 2.12
Co 0.5000 0.0000 0.0000  2 Ge 2.12
Ge 0.0000 0.0000 0.0000  6 Co 2.12
P 0.5000 0.5000 0.5000  12 Co 3.00